1.
PrZn10Pd2, optimized geometry, DFT GGA-PBE; space group = No. 69
1.0
5.4535 0.0000 0.0000
2.7268 6.3860 0.0000
2.7268 0.0000 6.1845
Pr Zn Pd
1 10 2
Cartesian
0.0000 0.0000 0.0000 Pr
5.4535 4.1104 4.0365 Zn
5.4535 2.2756 2.1480 Zn
8.1803 2.2756 4.0365 Zn
2.7268 4.1104 2.1480 Zn
1.3634 0.0000 3.0922 Zn
4.0901 0.0000 3.0922 Zn
2.7268 1.4086 1.3627 Zn
8.1803 4.9774 4.8218 Zn
5.4535 4.9774 1.3627 Zn
5.4535 1.4086 4.8218 Zn
1.3634 3.1930 0.0000 Pd
4.0901 3.1930 0.0000 Pd

2.
Pr3Zn3Pd8, optimized geometry, DFT GGA-PBE; space group = No. 12
1.0
4.3363 0.0000 1.1438
1.4310 7.3879 3.3664
0.1169 -0.1425 8.3484
Pr Zn Pd
3 3 8
Cartesian
2.4128 5.2297 8.4363 Pr
3.4715 2.0157 4.4224 Pr
0.0000 0.0000 0.0000 Pr
0.7740 3.6227 5.8574 Zn
3.9816 4.7832 11.2802 Zn
1.9027 2.4622 1.5784 Zn
0.8318 1.0686 5.6382 Pd
5.0524 6.1769 7.2204 Pd
4.4688 2.9418 9.4333 Pd
1.4155 4.3036 3.4253 Pd
3.1856 4.9346 5.5063 Pd
2.6987 2.3108 7.3523 Pd
1.5714 0.2861 2.8341 Pd
4.3128 6.9593 10.0246 Pd

3.
Pr3Zn4Pd2, optimized geometry, DFT GGA-PBE; space group = No. 12
1.0
4.5205 0.0000 0.0000
-2.2602 5.4636 -0.3241
0.0000 -2.7873 8.2077
Pr Zn Pd
3 4 2
Cartesian
2.2602 0.1034 5.2656 Pr
0.0000 0.0000 0.0000 Pr
0.0000 2.5728 2.6180 Pr
2.2602 2.2722 0.2980 Zn
0.0000 0.4040 7.5855 Zn
2.2602 3.2922 4.8136 Zn
0.0000 -0.6159 3.0699 Zn
2.2602 0.3617 2.1477 Pd
0.0000 2.3146 5.7358 Pd

4.
PrZn7Pd5, optimized geometry, DFT GGA-PBE; space group = No. 44
1.0
5.0857 0.0000 2.0886
2.5808 6.2774 0.9517
0.1579 -0.0798 6.8514
Pr Zn Pd
1 7 5
Cartesian
2.7648 6.1288 7.7396 Pr
4.2722 2.1482 4.0694 Zn
3.5713 3.9991 5.7760 Zn
6.0680 2.2142 6.9327 Zn
6.7924 4.1148 5.1689 Zn
2.0103 1.4064 2.3411 Zn
4.6130 4.8962 3.2395 Zn
3.2271 1.2600 6.6140 Zn
2.6411 0.0253 4.3985 Pd
0.1155 0.0253 3.3613 Pd
3.7997 3.0655 1.5772 Pd
1.2742 3.0655 0.5400 Pd
5.7970 4.8365 7.5924 Pd

5.
Pr2Zn2Pd3, optimized geometry, DFT GGA-PBE; space group = No. 63
1.0
4.0335 0.0000 -0.9616
0.0000 7.4725 0.0000
0.1877 0.0000 9.7272
Pr Zn Pd
4 4 6
Cartesian
0.6862 1.8681 2.8782 Pr
3.5350 5.6043 5.8874 Pr
3.9522 1.8681 7.6372 Pr
0.2690 5.6043 1.1284 Pr
2.8681 7.0540 3.0901 Zn
1.3531 0.4184 5.6755 Zn
1.3531 3.3178 5.6755 Zn
2.8681 4.1547 3.0901 Zn
0.9871 5.6043 4.1402 Pd
3.2341 1.8681 4.6253 Pd
2.3036 3.2616 0.7224 Pd
1.9176 4.2109 8.0432 Pd
1.9176 6.9978 8.0432 Pd
2.3036 0.4747 0.7224 Pd

6.
Pr4Zn2Pd5, optimized geometry, DFT GGA-PBE; space group = No. 10
1.0
-0.1737 -3.4686 -2.0282
4.3121 -3.1856 5.0785
-6.7790 -2.2365 4.4056
Pr Zn Pd
4 2 5
Cartesian
-1.2464 -5.4543 5.4470 Pr
-5.0298 -4.4653 4.0798 Pr
-1.3943 -3.4365 2.0089 Pr
2.3891 -4.4254 3.3761 Pr
-3.9107 -1.6585 3.1712 Zn
1.4437 -3.7637 6.3128 Zn
0.1582 -2.5968 4.4274 Pd
-0.3101 -0.6992 1.2223 Pd
2.1560 -1.5928 2.5392 Pd
-2.1569 -4.7229 8.2618 Pd
-2.6251 -2.8253 5.0567 Pd

no.,energy of formation (meV/atom),volume (Å³ per cell)
1,-298,215.38
2,-681,268.31
3,-545,198.63
4,-479,216.62
5,-675,294.53
6,-694,249.13